[1]
Below is a relaxed RbHg3Au crystal, with properties calculated at the PBE level.

The structure in extended XYZ format:
```
5
Lattice="5.538 0.000 0.000 0.000 5.538 0.000 0.000 0.000 5.538" Properties=species:S:1:pos:R:3 pbc="T T T"
Rb 0.000 0.000 0.000
Hg 0.000 2.769 2.769
Hg 2.769 0.000 2.769
Hg 2.769 2.769 0.000
Au 2.769 2.769 2.769
```

Computed properties:
DFT formation energy = -84 kJ/mol of formula units
Calculated volume = 33.97 A^3/atom
DOS at the Fermi energy = 1.9 states/eV/cell
Raw total energy = -6.02 eV per cell
Polymorph energy (0 for the lowest one) = 33 meV/atom
Space-group type = Pm-3m (221)

***

[2]
Below is a relaxed BaRe2Cl crystal, with properties calculated at the PBE level.

The structure in extended XYZ format:
```
4
Lattice="1.496 -2.603 0.000 1.496 2.603 0.000 0.000 0.000 10.178" Properties=species:S:1:pos:R:3 pbc="T T T"
Ba 0.000 0.000 0.000
Re 1.496 0.000 2.934
Re 1.496 0.000 7.243
Cl 0.000 0.000 5.089
```

Computed properties:
Calculated volume = 19.81 A^3/atom
DOS at the Fermi energy = 5.5 states/eV/cell
Raw total energy = -22.45 eV per cell
Polymorph energy (0 for the lowest one) = 1440 meV/atom
Space-group type = Cmmm (65)

***

[3]
Below is a relaxed BeCuSi2 crystal, with properties calculated at the PBE level.

The structure in extended XYZ format:
```
4
Lattice="1.394 0.805 7.354 -1.394 0.805 7.354 0.000 -1.609 7.354" Properties=species:S:1:pos:R:3 pbc="T T T"
Be 0.000 0.000 0.000
Cu 0.000 0.000 11.030
Si 0.000 0.000 5.606
Si 0.000 0.000 16.455
```

Computed properties:
Calculated volume = 12.37 A^3/atom
DOS at the Fermi energy = 1.0 states/eV/cell
Raw total energy = -17.65 eV per cell
Space-group type = R-3m (166)

***

[4]
Below is a relaxed BaCdPb crystal, with properties calculated at the PBE level.

The structure in extended XYZ format:
```
6
Lattice="-2.683 4.324 4.465 2.683 -4.324 4.465 2.683 4.324 -4.465" Properties=species:S:1:pos:R:3 pbc="T T T"
Ba 0.000 0.000 0.000
Ba 0.000 4.324 0.757
Cd 2.683 -1.499 1.874
Cd 2.683 1.499 1.874
Pb 2.683 2.607 -1.000
Pb 0.000 1.716 3.466
```

Computed properties:
DFT formation energy = -128 kJ/mol of formula units
Calculated volume = 34.53 A^3/atom
DOS at the Fermi energy = 1.4 states/eV/cell
Raw total energy = -15.74 eV per cell
Space-group type = Imm2 (44)

***

[5]
Below is a relaxed AcNpRh crystal, with properties calculated at the PBE level.

The structure in extended XYZ format:
```
12
Lattice="0.000 6.413 7.700 3.259 0.000 7.700 3.259 6.413 0.000" Properties=species:S:1:pos:R:3 pbc="T T T"
Ac 0.815 1.603 0.264
Ac 0.815 1.603 3.586
Ac 5.703 11.223 11.815
Ac 5.703 11.223 15.137
Np 2.444 4.810 3.191
Np 4.074 8.016 7.042
Np 2.444 4.810 8.359
Np 4.074 8.016 12.210
Rh 2.444 3.398 5.775
Rh 2.444 6.221 5.775
Rh 4.074 6.605 9.626
Rh 4.074 9.428 9.626
```

Computed properties:
DFT formation energy = 22 kJ/mol of formula units
Calculated volume = 26.82 A^3/atom
DOS at the Fermi energy = 33.4 states/eV/cell
Raw total energy = -96.67 eV per cell
Space-group type = Fddd (70)

***

[6]
Below is a relaxed B5C7 crystal, with properties calculated at the PBE level.

The structure in extended XYZ format:
```
12
Lattice="4.783 0.000 0.000 0.000 2.534 0.000 -0.586 0.000 6.538" Properties=species:S:1:pos:R:3 pbc="T T T"
B 0.000 0.000 0.000
B -0.101 0.000 1.976
B 0.543 1.267 6.079
B 2.346 1.267 1.860
B 2.985 0.000 4.580
C 0.608 1.267 4.477
C 1.440 0.000 2.451
C 1.367 0.000 3.995
C 2.538 1.267 0.223
C 2.692 0.000 6.417
C 3.840 1.267 2.487
C 3.910 1.267 3.959
```

Computed properties:
DFT formation energy = 432 kJ/mol of formula units
Calculated volume = 6.60 A^3/atom
DOS at the Fermi energy = 2.3 states/eV/cell
Raw total energy = -93.47 eV per cell
Polymorph energy (0 for the lowest one) = 115 meV/atom
Space-group type = Pm (6)

***

[7]
Below is a relaxed K2PtBr2 crystal, with properties calculated at the PBE level.

The structure in extended XYZ format:
```
5
Lattice="-3.242 3.242 4.264 3.242 -3.242 4.264 3.242 3.242 -4.264" Properties=species:S:1:pos:R:3 pbc="T T T"
K 3.242 0.000 2.132
K 0.000 3.242 2.132
Pt 0.000 0.000 0.000
Br 0.000 0.000 2.413
Br 0.000 0.000 6.116
```

Computed properties:
Calculated volume = 35.86 A^3/atom
DOS at the Fermi energy = 0.0 states/eV/cell
Raw total energy = -16.27 eV per cell
Polymorph energy (0 for the lowest one) = 0 meV/atom
Space-group type = I4/mmm (139)

***

[8]
Below is a relaxed Tb3SmDy7 crystal, with properties calculated at the PBE level.

The structure in extended XYZ format:
```
11
Lattice="7.053 0.000 0.000 -3.526 6.108 0.000 0.000 0.000 8.602" Properties=species:S:1:pos:R:3 pbc="T T T"
Tb 0.000 2.040 0.000
Tb -1.760 5.088 0.000
Tb 1.760 5.088 0.000
Sm 0.000 0.000 2.907
Dy -1.751 3.061 2.884
Dy 1.752 1.012 5.737
Dy 0.000 4.072 5.712
Dy 1.751 3.061 2.884
Dy 0.000 6.094 2.884
Dy 5.301 1.012 5.737
Dy 3.526 4.085 5.737
```

Computed properties:
DFT formation energy = 201 kJ/mol of formula units
Calculated volume = 33.69 A^3/atom
DOS at the Fermi energy = 17.3 states/eV/cell
Raw total energy = -48.74 eV per cell
Polymorph energy (0 for the lowest one) = 46 meV/atom
Space-group type = P3m1 (156)

***

[9]
Below is a relaxed Y2ZrMn crystal, with properties calculated at the PBE level.

The structure in extended XYZ format:
```
4
Lattice="0.000 3.664 3.664 3.664 0.000 3.664 3.664 3.664 0.000" Properties=species:S:1:pos:R:3 pbc="T T T"
Y 0.000 0.000 0.000
Y 1.832 1.832 1.832
Zr 3.664 3.664 3.664
Mn 5.495 5.495 5.495
```

Computed properties:
DFT formation energy = 135 kJ/mol of formula units
Calculated volume = 24.59 A^3/atom
DOS at the Fermi energy = 5.5 states/eV/cell
Raw total energy = -29.25 eV per cell
Polymorph energy (0 for the lowest one) = 243 meV/atom
Space-group type = F-43m (216)

***

[10]
Below is a relaxed As2P crystal, with properties calculated at the PBE level.

The structure in extended XYZ format:
```
12
Lattice="5.809 0.000 0.000 -2.904 5.031 0.000 0.000 0.000 9.628" Properties=species:S:1:pos:R:3 pbc="T T T"
As 0.000 0.000 0.000
As 0.000 0.000 4.814
As 0.000 1.647 2.407
As -1.478 4.207 2.407
As 1.427 0.824 7.221
As 1.478 4.207 2.407
As 4.382 0.824 7.221
As 2.904 3.383 7.221
P 0.000 3.354 0.646
P 0.000 3.354 4.168
P 2.904 1.677 5.460
P 2.904 1.677 8.983
```

Computed properties:
DFT formation energy = 174 kJ/mol of formula units
Calculated volume = 23.45 A^3/atom
DOS at the Fermi energy = 8.7 states/eV/cell
Raw total energy = -51.62 eV per cell
Polymorph energy (0 for the lowest one) = 543 meV/atom
Space-group type = P6_3/mmc (194)

***

[11]
Below is a relaxed RbMg2TlPt crystal, with properties calculated at the PBE level.

The structure in extended XYZ format:
```
5
Lattice="5.250 0.000 0.000 0.000 5.250 0.000 0.000 0.000 5.348" Properties=species:S:1:pos:R:3 pbc="T T T"
Rb 0.000 0.000 0.000
Mg 0.000 2.625 2.674
Mg 2.625 0.000 2.674
Tl 2.625 2.625 0.000
Pt 2.625 2.625 2.674
```

Computed properties:
DFT formation energy = -122 kJ/mol of formula units
Calculated volume = 29.48 A^3/atom
DOS at the Fermi energy = 1.6 states/eV/cell
Raw total energy = -13.83 eV per cell
Space-group type = P4/mmm (123)

***

[12]
Below is a relaxed Te3WC crystal, with properties calculated at the PBE level.

The structure in extended XYZ format:
```
5
Lattice="5.290 0.000 0.000 0.000 5.290 0.000 0.000 0.000 5.290" Properties=species:S:1:pos:R:3 pbc="T T T"
Te 0.000 0.000 2.645
Te 0.000 2.645 0.000
Te 2.645 0.000 0.000
W 0.000 0.000 0.000
C 2.645 2.645 2.645
```

Computed properties:
Calculated volume = 29.61 A^3/atom
DOS at the Fermi energy = 5.2 states/eV/cell
Raw total energy = -22.42 eV per cell
Polymorph energy (0 for the lowest one) = 303 meV/atom
Space-group type = Pm-3m (221)

***

[13]
Below is a relaxed Li2CaHo crystal, with properties calculated at the PBE level.

The structure in extended XYZ format:
```
4
Lattice="0.000 3.808 3.808 3.808 0.000 3.808 3.808 3.808 0.000" Properties=species:S:1:pos:R:3 pbc="T T T"
Li 1.904 1.904 1.904
Li 5.712 5.712 5.712
Ca 0.000 0.000 0.000
Ho 3.808 3.808 3.808
```

Computed properties:
DFT formation energy = 56 kJ/mol of formula units
Calculated volume = 27.60 A^3/atom
DOS at the Fermi energy = 4.2 states/eV/cell
Raw total energy = -9.82 eV per cell
Polymorph energy (0 for the lowest one) = 37 meV/atom
Space-group type = Fm-3m (225)